This record from Alexandria via LeMat-Bulk describes crystalline FeSi2Hg at its relaxed geometry. The functional is PBE.

Unit cell a=7.6758 b=3.0782 c=5.6150 alpha=90.00 beta=101.21 gamma=90.00
Last column: nearest neighbours and their distance in Å.
Space group C2/m (No. 12)
Unique sites:
Fe 0.0000 0.0000 0.0000 (multiplicity 2)  6 Si 2.38-2.45
Si 0.2280 0.5000 0.1660 (multiplicity 4)  3 Fe 2.38-2.45, 2 Si 2.49
Hg 0.0000 0.5000 0.5000 (multiplicity 2)  6 Si 2.80-2.95, 2 Hg 3.08

Properties
Size of the total moment, μB per formula unit: 1.46
Final energy, eV for the cell shown: -37.30
Formation energy from raw total energies, eV per atom: 0.2401